A plane-wave DFT calculation with PBE+U was carried out for ErIn2WO8 after structural relaxation.

Cell lengths 6.9188, 7.0307, 6.6493 Å; angles 90.00, 90.00, 90.00 degrees
Space group Cmmm (No. 65)
Inequivalent atoms, fractional coordinates:
Er  0.0000  0.0000  0.0000
In  0.0000  0.5000  0.2551
W  0.0000  0.0000  0.5000
O  0.0000  0.1856  0.2833
O  0.1884  0.5000  0.0000
O  0.2137  0.5000  0.5000

Summary:
total moment = 1.75 μB/cell
energy = -6.7388 eV/atom
calculated density = 7.28 g/cm3